Here is a geometry-optimized CsB2WF8 structure from Alexandria via LeMat-Bulk. Energies are from PBE with a Hubbard U.

a = 8.313 Å, b = 8.313 Å, c = 8.313 Å
α = 40.49°, β = 40.49°, γ = 40.49°
Fractional positions:
Cs 0.000 0.000 0.000
B 0.252 0.252 0.252
B 0.748 0.748 0.748
W 0.500 0.500 0.500
F 0.037 0.169 0.489
F 0.169 0.489 0.037
F 0.314 0.314 0.314
F 0.489 0.037 0.169
F 0.511 0.963 0.831
F 0.686 0.686 0.686
F 0.831 0.511 0.963
F 0.963 0.831 0.511

Summary:
VASP energy   -5.44 eV/atom
Calculated density   3.727 g cm⁻³
Magnetic moment   5.00 μB/cell